Record 1
# KBe2Ge

An optimized crystal structure of KBe2Ge (GGA-PBE, the Alexandria database).

Lattice parameters (Å, degrees): 4.2816 5.6716 7.3043 90.02 92.36 99.12
Element x y z (fractional)
1 K 0.2394 0.2535 0.3612
2 K 0.7606 0.7465 0.6388
3 Be 0.0000 0.0000 0.0000
4 Be 0.1854 0.6637 0.0234
5 Be 0.5000 0.0000 0.0000
6 Be 0.8146 0.3363 0.9766
7 Ge 0.2950 0.3157 0.8561
8 Ge 0.7050 0.6843 0.1439

Summary:
ΔE_f in kcal/mol of atoms: 3.06

=====

Record 2
# HgTeBr2

An optimized crystal structure of HgTeBr2 (GGA-PBE, the Alexandria database).

Lattice parameters (Å, degrees): 8.3886 8.3886 4.7216 90.94 90.94 28.38
Element x y z (fractional)
1 Hg 0.0000 0.0000 0.0000
2 Te 0.8355 0.8355 0.9931
3 Br 0.3379 0.3379 0.4931
4 Br 0.6105 0.6105 0.0021

Summary:
Offset from the most stable computed form in eV per atom: 0.0658

=====

Record 3
# Rb3Sn3Pb2

An optimized crystal structure of Rb3Sn3Pb2 (GGA-PBE, the Alexandria database).

Lattice parameters (Å, degrees): 6.9096 6.9096 16.3200 90.00 90.00 126.68
Element x y z (fractional)
1 Rb 0.0145 0.9855 0.7500
2 Rb 0.1480 0.8520 0.0312
3 Rb 0.1480 0.8520 0.4688
4 Rb 0.8520 0.1480 0.5312
5 Rb 0.8520 0.1480 0.9688
6 Rb 0.9855 0.0145 0.2500
7 Sn 0.2921 0.7079 0.2500
8 Sn 0.4564 0.5436 0.1139
9 Sn 0.4564 0.5436 0.3861
10 Sn 0.5436 0.4564 0.6139
11 Sn 0.5436 0.4564 0.8861
12 Sn 0.7079 0.2921 0.7500
13 Pb 0.3067 0.6933 0.6585
14 Pb 0.3067 0.6933 0.8415
15 Pb 0.6933 0.3067 0.1585
16 Pb 0.6933 0.3067 0.3415

Summary:
ΔE_f in kcal/mol of atoms: -1.41

=====

Record 4
# Ho2ZnCoC

An optimized crystal structure of Ho2ZnCoC (GGA-PBE, the Alexandria database).

Lattice parameters (Å, degrees): 4.9540 4.9540 3.6272 90.00 90.00 90.00
Element x y z (fractional)
1 Ho 0.0000 0.5000 0.0000
2 Ho 0.5000 0.0000 0.0000
3 Zn 0.0000 0.0000 0.5000
4 Co 0.5000 0.5000 0.5000
5 C 0.5000 0.5000 0.0000

Summary:
ΔE_f in kcal/mol of atoms: -8.60

=====

Record 5
# Tl2RuPb

An optimized crystal structure of Tl2RuPb (GGA-PBE, the Alexandria database).

Lattice parameters (Å, degrees): 3.2885 3.2885 8.9671 90.00 90.00 90.21
Element x y z (fractional)
1 Tl 0.0000 0.0000 0.1910
2 Tl 0.0000 0.0000 0.8090
3 Ru 0.5000 0.5000 0.0000
4 Pb 0.5000 0.5000 0.5000

Summary:
Offset from the most stable computed form in eV per atom: 0.1320
ΔE_f in kcal/mol of atoms: 9.82

=====

Record 6
# AcPaTeSe

An optimized crystal structure of AcPaTeSe (GGA-PBE, the Alexandria database).

Lattice parameters (Å, degrees): 5.4009 5.4009 5.4009 60.00 60.00 60.00
Element x y z (fractional)
1 Ac 0.0000 0.0000 0.0000
2 Pa 0.5000 0.5000 0.5000
3 Te 0.2500 0.2500 0.2500
4 Se 0.7500 0.7500 0.7500

Summary:
Calculated total energy in eV/cell: -24.10

=====

Record 7
# Tm2CdRh3

An optimized crystal structure of Tm2CdRh3 (GGA-PBE, the Alexandria database).

Lattice parameters (Å, degrees): 3.3539 3.3539 9.7905 90.00 90.00 90.00
Element x y z (fractional)
1 Tm 0.0000 0.0000 0.1752
2 Tm 0.0000 0.0000 0.8248
3 Cd 0.0000 0.0000 0.5000
4 Rh 0.5000 0.5000 0.0000
5 Rh 0.5000 0.5000 0.3360
6 Rh 0.5000 0.5000 0.6640

Summary:
Offset from the most stable computed form in eV per atom: 0.0417
ΔE_f in kcal/mol of atoms: -16.65

=====

Record 8
# Ag2PbAuSe

An optimized crystal structure of Ag2PbAuSe (GGA-PBE, the Alexandria database).

Lattice parameters (Å, degrees): 5.3925 5.3925 5.3994 90.00 90.00 90.00
Element x y z (fractional)
1 Ag 0.0000 0.5000 0.0000
2 Ag 0.5000 0.0000 0.0000
3 Pb 0.0000 0.0000 0.0000
4 Au 0.5000 0.5000 0.5000
5 Se 0.0000 0.0000 0.5000

Summary:
Calculated total energy in eV/cell: -11.80

=====

What DOS at the Fermi energy values result from the calculations? In sequence: 0.26; 0.20; 0.35; 0.51; 0.77; 1.72; 0.38; 0.80 states/eV per atom.
What ρ values result from the calculations? In sequence: 2463; 5132; 5458; 8697; 12278; 9907; 11444; 7391 kg/m³.